PmLu2Mg after structural relaxation, computed with PBE.

Calculated values
total magnetic moment: 0.00 μB per formula unit
offset from the most stable computed form: 0.230 eV/atom

Lattice parameters (Å, degrees): 12.252 12.252 12.252 15.87 15.87 15.87
Element x y z (fractional)
Pm  0.000  0.000  0.000
Lu  0.093  0.093  0.093
Lu  0.907  0.907  0.907
Mg  0.500  0.500  0.500